1.
{
  "formula": "CsPaAgTe4",
  "functional": "GGA-PBE",
  "state": "relaxed",
  "cell": [[7.817, 0.000, -0.153], [0.000, 6.308, 0.000], [-3.287, 0.000, 10.299]],
  "species": ["Te", "Te", "Te", "Te", "Te", "Te", "Te", "Te", "Cs", "Cs", "Ag", "Ag", "Pa", "Pa"],
  "frac_coords": [[0.025, 0.509, 0.685], [0.975, 0.009, 0.315], [0.437, 0.750, 0.588], [0.486, 0.750, 0.168], [0.025, 0.991, 0.685], [0.514, 0.250, 0.832], [0.563, 0.250, 0.412], [0.975, 0.491, 0.315], [0.779, 0.750, 0.948], [0.221, 0.250, 0.052], [0.273, 0.750, 0.320], [0.727, 0.250, 0.680], [0.273, 0.250, 0.555], [0.727, 0.750, 0.445]],
  "raw_formation_energy_ev_per_atom": -0.711,
  "dft_energy_ev_per_atom": -4.392,
  "density_g_cm3": 6.5,
  "sg": "P2_1/m, No. 11",
  "magmom_total_mub_per_fu": 0.29,
  "dos_ef_per_ev_atom": 0.327
}

2.
{
  "formula": "ErScIn",
  "functional": "GGA-PBE",
  "state": "relaxed",
  "cell": [[3.162, 0.000, 0.000], [0.000, 5.186, 0.000], [0.000, -2.593, 4.491]],
  "species": ["In", "Er", "Sc"],
  "frac_coords": [[0.667, 0.667, 0.333], [0.166, 0.333, 0.667], [0.167, 0.000, 0.000]],
  "dft_energy_ev_per_atom": -4.621,
  "density_g_cm3": 7.4,
  "ef_mev_per_atom": -76.6,
  "sg": "P-6m2, No. 187",
  "de_polymorph_ev_per_atom": 0.292,
  "magmom_total_mub_per_fu": 0.00,
  "dos_ef_per_ev_atom": 1.195
}

3.
{
  "formula": "V12FeSi3",
  "functional": "GGA-PBE",
  "state": "relaxed",
  "cell": [[4.682, 0.000, 0.000], [0.000, 4.672, 0.000], [0.000, 0.000, 9.382]],
  "species": ["Fe", "V", "V", "V", "V", "V", "V", "V", "V", "V", "V", "V", "V", "Si", "Si", "Si"],
  "frac_coords": [[0.000, 0.000, 0.500], [0.247, 0.500, 0.500], [0.753, 0.500, 0.500], [0.000, 0.752, 0.254], [0.500, 0.000, 0.381], [0.500, 0.000, 0.619], [0.500, 0.000, 0.130], [0.500, 0.000, 0.870], [0.000, 0.248, 0.254], [0.000, 0.752, 0.746], [0.744, 0.500, 0.000], [0.000, 0.248, 0.746], [0.256, 0.500, 0.000], [0.500, 0.500, 0.249], [0.500, 0.500, 0.751], [0.000, 0.000, 0.000]],
  "raw_formation_energy_ev_per_atom": -0.394,
  "dft_energy_ev_per_atom": -8.778,
  "density_g_cm3": 6.1,
  "sg": "Pmmm, No. 47",
  "magmom_total_mub_per_fu": 0.00,
  "dos_ef_per_ev_atom": 1.058
}